First-principles (PBE) data for an optimized crystal structure of PrDyMgGa, as listed in Alexandria.

## Properties
Space-group type: F-43m (216)
Total moment, μB per atom: 0.00
DFT formation energy, meV/atom: -331

The structure in extended XYZ format:
```
4
Lattice="5.2705 0.0000 0.0000 2.6353 4.5644 0.0000 2.6353 1.5215 4.3034" Properties=species:S:1:pos:R:3 pbc="T T T"
Pr 5.2705 3.0429 2.1517
Mg 7.9058 4.5644 3.2275
Ga 2.6353 1.5215 1.0758
Dy 0.0000 0.0000 0.0000
```

First-principles (PBE) data for an optimized crystal structure of Dy2MgGa2Pt5, as listed in Alexandria.

## Properties
Space-group type: P4/mbm (127)
Total moment, μB per atom: 0.00
DFT formation energy, meV/atom: -918

The structure in extended XYZ format:
```
20
Lattice="-1.2966 -0.9136 3.4526 3.6451 -8.9804 -1.0074 8.4027 2.9685 3.9410" Properties=species:S:1:pos:R:3 pbc="T T T"
Dy 3.9277 -5.5407 0.0089
Dy 8.1201 -0.4712 2.9247
Dy 3.3700 -0.6037 1.1058
Dy 8.6778 -5.4082 1.8278
Mg 0.0000 0.0000 0.0000
Mg 6.0239 -3.0059 1.4668
Ga 5.7023 0.7353 2.3360
Ga 6.3455 -6.7472 0.5976
Ga 9.6325 -3.0103 2.8208
Ga 2.4153 -3.0016 0.1128
Pt 0.6469 -2.1214 1.7722
Pt 10.1043 -4.8041 4.6140
Pt 6.2528 1.3191 4.7878
Pt 5.5871 -5.5102 2.7308
Pt 4.4984 -8.2446 1.5984
Pt 5.1641 -1.4153 3.6555
Pt 7.3473 -3.4283 3.9427
Pt 3.4039 -3.4972 2.4435
Pt 1.1743 -4.9470 1.2226
Pt 3.5531 1.0275 3.6968
```

First-principles (PBE) data for an optimized crystal structure of DyMg2Ga2Pt, as listed in Alexandria.

## Properties
Space-group type: I4/mmm (139)
Total moment, μB per atom: 0.00
DFT formation energy, meV/atom: -28

The structure in extended XYZ format:
```
6
Lattice="5.1111 0.0000 0.0000 0.0000 5.1111 0.0000 -2.5556 -2.5556 5.3656" Properties=species:S:1:pos:R:3 pbc="T T T"
Dy 2.5556 2.5556 0.0000
Mg 0.0000 2.5556 2.6828
Mg 2.5556 0.0000 2.6828
Ga 2.5556 2.5556 2.9803
Ga 0.0000 0.0000 2.3853
Pt 0.0000 0.0000 0.0000
```

First-principles (PBE) data for an optimized crystal structure of DyMgGaPt, as listed in Alexandria.

## Properties
Space-group type: F-43m (216)
Total moment, μB per atom: 0.00
DFT formation energy, meV/atom: -767

The structure in extended XYZ format:
```
4
Lattice="-1.6301 -4.4586 -0.7043 3.0806 -3.6728 -0.2304 0.1771 -3.2105 3.5628" Properties=species:S:1:pos:R:3 pbc="T T T"
Mg 0.8138 -5.6709 1.3141
Ga 0.4069 -2.8355 0.6570
Pt 1.2207 -8.5064 1.9711
Dy 0.0000 0.0000 0.0000
```

First-principles (PBE) data for an optimized crystal structure of Dy2MgGa3Pt4, as listed in Alexandria.

## Properties
Space-group type: P-4m2 (115)
Total moment, μB per atom: 0.00
DFT formation energy, meV/atom: -950

The structure in extended XYZ format:
```
10
Lattice="4.0537 0.0000 0.0000 0.0000 4.0537 0.0000 0.0000 0.0000 11.5027" Properties=species:S:1:pos:R:3 pbc="T T T"
Dy 2.0268 0.0000 2.7774
Dy 0.0000 2.0268 8.7253
Mg 2.0268 2.0268 5.7514
Ga 0.0000 0.0000 5.7514
Ga 2.0268 0.0000 9.9847
Ga 0.0000 2.0268 1.5180
Pt 2.0268 2.0268 0.0000
Pt 0.0000 0.0000 0.0000
Pt 2.0268 0.0000 7.4951
Pt 0.0000 2.0268 4.0077
```

First-principles (PBE) data for an optimized crystal structure of DyPuMgGa, as listed in Alexandria.

## Properties
Space-group type: F-43m (216)
Total moment, μB per atom: 1.54
DFT formation energy, meV/atom: -158

The structure in extended XYZ format:
```
4
Lattice="-3.6296 -2.4716 2.7450 -0.9241 -5.0225 -0.8593 1.3787 -3.5276 3.5317" Properties=species:S:1:pos:R:3 pbc="T T T"
Mg -2.3812 -8.2663 4.0630
Dy 0.0000 0.0000 0.0000
Ga -0.7937 -2.7554 1.3543
Pu -1.5875 -5.5108 2.7087
```

First-principles (PBE) data for an optimized crystal structure of Dy2MgGa3Rh4, as listed in Alexandria.

## Properties
Space-group type: P-4m2 (115)
Total moment, μB per atom: 0.00
DFT formation energy, meV/atom: -762

The structure in extended XYZ format:
```
10
Lattice="-3.2351 -2.3358 -1.1986 2.4935 -3.3290 -0.2424 -2.0849 -2.2974 10.1045" Properties=species:S:1:pos:R:3 pbc="T T T"
Dy -2.1050 -1.7051 1.7633
Dy -0.3507 -3.4247 7.6207
Mg -1.4133 -3.9811 4.3317
Ga -1.0425 -1.1487 5.0523
Ga -3.4419 -3.1782 8.2425
Ga 0.9862 -1.9516 1.1415
Rh -0.3708 -2.8324 -0.7205
Rh 0.0000 0.0000 0.0000
Rh -2.9605 -2.6477 5.9091
Rh 0.5047 -2.4821 3.4749
```

First-principles (PBE) data for an optimized crystal structure of DyMgGaRh, as listed in Alexandria.

## Properties
Space-group type: F-43m (216)
Total moment, μB per atom: 0.00
DFT formation energy, meV/atom: -532

The structure in extended XYZ format:
```
4
Lattice="4.7620 0.0000 0.0000 2.3810 4.1240 0.0000 2.3810 1.3747 3.8881" Properties=species:S:1:pos:R:3 pbc="T T T"
Mg 2.3810 1.3747 0.9720
Rh 4.7620 2.7493 1.9441
Ga 0.0000 0.0000 0.0000
Dy 7.1430 4.1240 2.9161
```

First-principles (PBE) data for an optimized crystal structure of Dy4MgGa2Ru, as listed in Alexandria.

## Properties
Space-group type: R-3m (166)
Total moment, μB per atom: 0.00
DFT formation energy, meV/atom: -439

The structure in extended XYZ format:
```
8
Lattice="-3.6503 -3.4526 0.6033 0.7496 -4.7673 -1.5231 2.0573 -4.6387 7.1249" Properties=species:S:1:pos:R:3 pbc="T T T"
Dy 0.6150 -7.0802 5.6501
Dy -1.6961 -8.9762 2.0404
Dy 0.8527 -3.8824 4.1648
Dy -1.4584 -5.7784 0.5551
Mg 0.0000 0.0000 0.0000
Ga -0.5419 -9.7009 4.8767
Ga -0.3015 -3.1577 1.3284
Ru -0.4217 -6.4293 3.1026
```

First-principles (PBE) data for an optimized crystal structure of DyMgGaRu, as listed in Alexandria.

## Properties
Space-group type: F-43m (216)
Total moment, μB per atom: 0.00
DFT formation energy, meV/atom: -220

The structure in extended XYZ format:
```
4
Lattice="-1.4045 -1.4269 4.3013 -3.2677 -3.4144 0.4169 1.2428 -4.2904 1.5992" Properties=species:S:1:pos:R:3 pbc="T T T"
Ru -1.7147 -4.5658 3.1587
Mg -2.5721 -6.8488 4.7380
Ga 0.0000 0.0000 0.0000
Dy -0.8574 -2.2829 1.5793
```

First-principles (PBE) data for an optimized crystal structure of DyMgGaS4, as listed in Alexandria.

## Properties
Space-group type: Imma (74)
Total moment, μB per atom: 0.00
Raw formation energy, eV/f.u.: -9.322

The structure in extended XYZ format:
```
14
Lattice="-6.5925 1.4944 -3.4586 -6.0643 -4.3488 1.3443 -5.8319 2.7690 3.9769" Properties=species:S:1:pos:R:3 pbc="T T T"
Dy 0.0000 0.0000 0.0000
Dy -5.9481 -0.7899 2.6606
Mg -6.2122 2.1317 0.2591
Mg -2.9160 1.3845 1.9884
Ga -8.6110 -1.4213 -0.8715
Ga -9.8777 1.3360 2.7340
S -13.8873 -0.1462 1.4009
S -10.5542 -0.8721 3.0693
S -7.9345 0.7868 -1.2068
S -4.6014 0.0609 0.4617
S -7.7004 -2.1998 1.1529
S -10.9406 -1.4653 -0.5470
S -7.5482 1.3800 2.4096
S -10.7883 2.1145 0.7097
```

First-principles (PBE) data for an optimized crystal structure of DyMgSc2Ga4, as listed in Alexandria.

## Properties
Space-group type: R-3m (166)
Total moment, μB per atom: 0.00
DFT formation energy, meV/atom: -477

The structure in extended XYZ format:
```
8
Lattice="-3.9246 1.5788 -2.2334 -2.6074 -2.9999 -2.6618 -6.6217 -2.3584 4.8459" Properties=species:S:1:pos:R:3 pbc="T T T"
Dy 0.0000 0.0000 0.0000
Mg -6.5768 -1.8897 -0.0246
Sc -9.7813 -2.7990 -0.1593
Sc -3.3724 -0.9805 0.1101
Ga -8.2048 -2.5801 2.3481
Ga -8.2006 -2.1287 -2.4632
Ga -4.9531 -1.6508 2.4139
Ga -4.9489 -1.1994 -2.3974
```

First-principles (PBE) data for an optimized crystal structure of DyMgGaSe4, as listed in Alexandria.

## Properties
Space-group type: Imma (74)
Total moment, μB per atom: 0.00
Raw formation energy, eV/f.u.: -8.203

The structure in extended XYZ format:
```
14
Lattice="8.0049 0.0000 0.0000 4.0024 6.9094 0.1234 4.0024 2.2225 6.5434" Properties=species:S:1:pos:R:3 pbc="T T T"
Dy 0.0000 0.0000 0.0000
Dy 4.0024 4.5659 3.3334
Mg 6.0036 1.1112 3.2717
Mg 2.0012 1.1112 3.2717
Ga 8.0049 4.5343 0.8499
Ga 8.0049 4.5976 5.8169
Se 12.0073 6.9251 4.9266
Se 8.0049 6.8957 4.9051
Se 8.0049 2.2362 1.7617
Se 4.0024 2.2068 1.7402
Se 6.0313 5.7692 1.7514
Se 9.9784 5.7692 1.7514
Se 6.0313 3.3627 4.9154
Se 9.9784 3.3627 4.9154
```

First-principles (PBE) data for an optimized crystal structure of SrDyMgGa, as listed in Alexandria.

## Properties
Space-group type: F-43m (216)
Total moment, μB per atom: 0.00
DFT formation energy, meV/atom: -198

The structure in extended XYZ format:
```
4
Lattice="5.4053 0.0000 0.0000 2.7026 4.6811 0.0000 2.7026 1.5604 4.4134" Properties=species:S:1:pos:R:3 pbc="T T T"
Sr 5.4053 3.1207 2.2067
Mg 8.1079 4.6811 3.3100
Ga 2.7026 1.5604 1.1033
Dy 0.0000 0.0000 0.0000
```

First-principles (PBE) data for an optimized crystal structure of TbDyMgGa, as listed in Alexandria.

## Properties
Space-group type: F-43m (216)
Total moment, μB per atom: 0.00
DFT formation energy, meV/atom: -343

The structure in extended XYZ format:
```
4
Lattice="5.1721 0.0000 0.0000 2.5861 4.4792 0.0000 2.5861 1.4931 4.2230" Properties=species:S:1:pos:R:3 pbc="T T T"
Mg 7.7582 4.4792 3.1673
Tb 5.1721 2.9861 2.1115
Ga 2.5861 1.4931 1.0558
Dy 0.0000 0.0000 0.0000
```

First-principles (PBE) data for an optimized crystal structure of DyYMgGa, as listed in Alexandria.

## Properties
Space-group type: F-43m (216)
Total moment, μB per atom: 0.00
DFT formation energy, meV/atom: -355

The structure in extended XYZ format:
```
4
Lattice="5.1672 0.0000 0.0000 2.5836 4.4750 0.0000 2.5836 1.4917 4.2190" Properties=species:S:1:pos:R:3 pbc="T T T"
Y 7.7508 4.4750 3.1643
Mg 5.1672 2.9833 2.1095
Ga 0.0000 0.0000 0.0000
Dy 2.5836 1.4917 1.0548
```

First-principles (PBE) data for an optimized crystal structure of Dy4MgZn2Ga, as listed in Alexandria.

## Properties
Space-group type: R-3m (166)
Total moment, μB per atom: 0.00
DFT formation energy, meV/atom: -335

The structure in extended XYZ format:
```
8
Lattice="5.1137 0.0000 0.0000 2.5568 4.4286 0.0000 2.5568 1.4762 8.3945" Properties=species:S:1:pos:R:3 pbc="T T T"
Dy 5.1137 2.9524 7.2189
Dy 7.6705 4.4286 3.2493
Dy 2.5568 1.4762 5.1451
Dy 5.1137 2.9524 1.1756
Mg 0.0000 0.0000 0.0000
Zn 7.6705 4.4286 6.5045
Zn 2.5568 1.4762 1.8900
Ga 5.1137 2.9524 4.1972
```

First-principles (PBE) data for an optimized crystal structure of DyMgZnGa, as listed in Alexandria.

## Properties
Space-group type: F-43m (216)
Total moment, μB per atom: 0.00
DFT formation energy, meV/atom: -391

The structure in extended XYZ format:
```
4
Lattice="-0.3383 -2.0170 -4.4137 3.8471 -2.2533 -1.9458 0.0027 -4.8420 -0.4682" Properties=species:S:1:pos:R:3 pbc="T T T"
Zn 2.6337 -6.8343 -5.1208
Mg 1.7558 -4.5562 -3.4139
Ga 0.8779 -2.2781 -1.7069
Dy 0.0000 0.0000 0.0000
```

First-principles (PBE) data for an optimized crystal structure of DyMgZrGa, as listed in Alexandria.

## Properties
Space-group type: F-43m (216)
Total moment, μB per atom: 0.00
DFT formation energy, meV/atom: -231

The structure in extended XYZ format:
```
4
Lattice="4.9887 0.0000 0.0000 2.4944 4.3204 0.0000 2.4944 1.4401 4.0733" Properties=species:S:1:pos:R:3 pbc="T T T"
Mg 7.4831 4.3204 3.0550
Ga 2.4944 1.4401 1.0183
Zr 4.9887 2.8803 2.0366
Dy 0.0000 0.0000 0.0000
```

First-principles (PBE) data for an optimized crystal structure of Dy2MnGa8, as listed in Alexandria.

## Properties
Space-group type: P4/mmm (123)
Total moment, μB per atom: 0.19
DFT formation energy, meV/atom: -419

The structure in extended XYZ format:
```
11
Lattice="-2.3956 -3.1545 1.5224 2.1749 -2.7854 -2.3491 7.3236 -1.4560 8.5071" Properties=species:S:1:pos:R:3 pbc="T T T"
Dy 2.2624 -0.4498 2.6280
Dy 5.0612 -1.0062 5.8791
Mn 0.0000 0.0000 0.0000
Ga 4.7493 -2.1207 3.0790
Ga 2.4640 -2.3052 5.0148
Ga 2.1536 -3.4200 2.2164
Ga 4.9494 -3.9758 5.4640
Ga 1.9724 -1.5686 -0.1466
Ga -0.3129 -1.7531 1.7891
Ga 7.5262 -2.6727 6.3046
Ga 5.2409 -2.8573 8.2404
```

First-principles (PBE) data for an optimized crystal structure of DyMn3Ga3, as listed in Alexandria.

## Properties
Space-group type: Pm-3n (223)
Total moment, μB per atom: 1.34
DFT formation energy, meV/atom: 444

The structure in extended XYZ format:
```
14
Lattice="-5.5537 -2.5056 -2.7665 -1.1851 -3.5193 5.5664 -3.5393 5.1100 2.4771" Properties=species:S:1:pos:R:3 pbc="T T T"
Mn -3.1581 1.9286 0.5469
Mn -1.4774 -0.4821 3.4025
Mn -3.6657 -3.8922 2.7916
Mn -5.9349 0.6758 -0.8363
Mn -3.2471 2.0728 4.6411
Mn -3.0731 -2.1326 0.0084
Ga -2.0659 1.6752 2.6302
Ga -2.6585 -0.0845 5.4134
Ga -5.4314 2.5797 0.4746
Ga -4.7578 -3.6388 0.7083
Ga -3.6617 0.0247 -0.7640
Ga -1.9810 -2.3860 2.0916
Dy -5.1391 -0.4574 2.6385
Dy 0.0000 0.0000 0.0000
```

First-principles (PBE) data for an optimized crystal structure of DyMnGa, as listed in Alexandria.

## Properties
Space-group type: P-3m1 (164)
Total moment, μB per atom: 0.00
DFT formation energy, meV/atom: -173

The structure in extended XYZ format:
```
6
Lattice="-1.8238 -3.4852 -0.3153 2.0783 -3.2525 -0.8209 0.9351 5.3430 9.6761" Properties=species:S:1:pos:R:3 pbc="T T T"
Mn 0.6849 -2.9495 3.9290
Mn 0.5047 1.5548 4.6110
Dy 0.8722 -1.0238 6.2602
Dy 0.3175 -0.3709 2.2798
Ga 0.9761 3.1478 8.9820
Ga 0.2136 -4.5425 -0.4421
```

First-principles (PBE) data for an optimized crystal structure of Dy3Mn2Ga9, as listed in Alexandria.

## Properties
Space-group type: Immm (71)
Total moment, μB per atom: 0.37
DFT formation energy, meV/atom: -462

The structure in extended XYZ format:
```
14
Lattice="4.0695 0.0000 1.0931 1.5110 7.6466 2.4964 -0.0159 0.2332 8.1812" Properties=species:S:1:pos:R:3 pbc="T T T"
Dy 0.0000 0.0000 0.0000
Dy 3.2993 2.3577 3.9608
Dy 2.2654 5.5222 7.8099
Mn 2.5129 2.6315 6.8886
Mn 3.0518 5.2483 4.8820
Ga 0.7476 3.9399 5.3388
Ga 4.1310 7.6901 8.9861
Ga 1.4336 0.1897 2.7846
Ga 3.7141 5.6658 10.5384
Ga 1.8506 2.2140 1.2323
Ga 4.7996 6.5998 6.4971
Ga 0.7651 1.2801 5.2736
Ga 4.1411 3.4028 8.9486
Ga 1.4236 4.4771 2.8221
```

First-principles (PBE) data for an optimized crystal structure of DyMnGa, as listed in Alexandria.

## Properties
Space-group type: P-62m (189)
Total moment, μB per atom: 1.10
DFT formation energy, meV/atom: -270

The structure in extended XYZ format:
```
9
Lattice="3.5439 -6.1382 0.0000 3.5439 6.1382 0.0000 0.0000 0.0000 4.1296" Properties=species:S:1:pos:R:3 pbc="T T T"
Dy 1.4686 -2.5437 2.0648
Dy 1.4686 2.5437 2.0648
Dy 4.1506 0.0000 2.0648
Mn 2.7066 -4.6879 0.0000
Mn 2.7066 4.6879 0.0000
Mn 1.6746 0.0000 0.0000
Ga 3.5439 2.0461 0.0000
Ga 3.5439 -2.0461 0.0000
Ga 0.0000 0.0000 2.0648
```